HfCuGeW | PBE-GGA | optimized geometry

The structure in CIF format:
```
data_HfCuGeW
_cell_length_a 6.3839
_cell_length_b 6.3839
_cell_length_c 6.3839
_cell_angle_alpha 90.00
_cell_angle_beta 90.00
_cell_angle_gamma 90.00
_symmetry_space_group_name_H-M 'F -4 3 m'
_symmetry_Int_Tables_number 216
_symmetry_space_group_name_Hall 'F -4 2 3'
loop_
_atom_site_label
_atom_site_fract_x
_atom_site_fract_y
_atom_site_fract_z
_atom_site_occupancy
Hf1 0.0000 0.0000 0.0000 1
Cu1 0.2500 0.2500 0.7500 1
Ge1 0.0000 0.0000 0.5000 1
W1 0.2500 0.2500 0.2500 1
```

Properties
Volume: 260.2 Å³/cell
Size of the total moment: 0.0 μB per cell
Calculated total energy: -7.503 eV per atom